Entry 1:
# AlS2Cl GGA-PBE relaxed
# Formation energy from raw total energies ... 0.3897 eV/atom
# ΔE to the lowest computed polymorph ... 978 meV/atom
# Final energy ... -3.071 eV per atom
data_AlS2Cl
_space_group_name_H-M_alt 'F m -3 m'
_space_group_IT_number 225
_space_group_name_Hall '-F 4 2 3'
_cell_length_a 6.4413
_cell_length_b 6.4413
_cell_length_c 6.4413
_cell_angle_alpha 90.00
_cell_angle_beta 90.00
_cell_angle_gamma 90.00
loop_
_atom_site_label
_atom_site_type_symbol
_atom_site_fract_x
_atom_site_fract_y
_atom_site_fract_z
_atom_site_occupancy
Al1 Al 0.0000 0.0000 0.0000 1
S1 S 0.2500 0.2500 0.2500 1
Cl1 Cl 0.0000 0.0000 0.5000 1

***

Entry 2:
# Al2S2Cl GGA-PBE relaxed
# Formation energy from raw total energies ... -0.8041 eV/atom
# ΔE to the lowest computed polymorph ... 64 meV/atom
# Final energy ... -4.321 eV per atom
data_Al2S2Cl
_space_group_name_H-M_alt 'I 41 m d'
_space_group_IT_number 109
_space_group_name_Hall 'I 4bw -2'
_cell_length_a 7.4759
_cell_length_b 7.4759
_cell_length_c 9.7642
_cell_angle_alpha 90.00
_cell_angle_beta 90.00
_cell_angle_gamma 90.00
loop_
_atom_site_label
_atom_site_type_symbol
_atom_site_fract_x
_atom_site_fract_y
_atom_site_fract_z
_atom_site_occupancy
Al1 Al 0.0000 0.2936 0.0000 1
S1 S 0.0000 0.2331 0.7678 1
Cl1 Cl 0.0000 0.0000 0.0974 1

***

Entry 3:
# ScAlS2Cl GGA-PBE relaxed
# Formation energy from raw total energies ... -0.7679 eV/atom
# ΔE to the lowest computed polymorph ... 0 meV/atom
# Final energy ... -4.803 eV per atom
data_ScAlS2Cl
_space_group_name_H-M_alt 'P 4/m m m'
_space_group_IT_number 123
_space_group_name_Hall '-P 4 2'
_cell_length_a 4.7064
_cell_length_b 4.7064
_cell_length_c 4.5086
_cell_angle_alpha 90.00
_cell_angle_beta 90.00
_cell_angle_gamma 90.00
loop_
_atom_site_label
_atom_site_type_symbol
_atom_site_fract_x
_atom_site_fract_y
_atom_site_fract_z
_atom_site_occupancy
Sc1 Sc 0.0000 0.0000 0.0000 1
Al1 Al 0.5000 0.5000 0.5000 1
S1 S 0.0000 0.5000 0.5000 1
Cl1 Cl 0.5000 0.5000 0.0000 1

***

Entry 4:
# ScAlS2Cl GGA-PBE relaxed
# Formation energy from raw total energies ... -0.7654 eV/atom
# ΔE to the lowest computed polymorph ... 2 meV/atom
# Final energy ... -4.801 eV per atom
data_ScAlS2Cl
_space_group_name_H-M_alt 'P 4/m m m'
_space_group_IT_number 123
_space_group_name_Hall '-P 4 2'
_cell_length_a 4.9654
_cell_length_b 4.9654
_cell_length_c 4.9748
_cell_angle_alpha 90.00
_cell_angle_beta 90.00
_cell_angle_gamma 90.00
loop_
_atom_site_label
_atom_site_type_symbol
_atom_site_fract_x
_atom_site_fract_y
_atom_site_fract_z
_atom_site_occupancy
Sc1 Sc 0.0000 0.0000 0.0000 1
Al1 Al 0.5000 0.5000 0.5000 1
S1 S 0.0000 0.5000 0.0000 1
Cl1 Cl 0.0000 0.0000 0.5000 1

***

Entry 5:
# AlSnS2Cl GGA-PBE relaxed
# Formation energy from raw total energies ... -0.5829 eV/atom
# ΔE to the lowest computed polymorph ... 0 meV/atom
# Final energy ... -4.152 eV per atom
data_AlSnS2Cl
_space_group_name_H-M_alt 'P 4/m m m'
_space_group_IT_number 123
_space_group_name_Hall '-P 4 2'
_cell_length_a 4.7620
_cell_length_b 4.7620
_cell_length_c 4.5969
_cell_angle_alpha 90.00
_cell_angle_beta 90.00
_cell_angle_gamma 90.00
loop_
_atom_site_label
_atom_site_type_symbol
_atom_site_fract_x
_atom_site_fract_y
_atom_site_fract_z
_atom_site_occupancy
Al1 Al 0.0000 0.0000 0.0000 1
Sn1 Sn 0.5000 0.5000 0.5000 1
S1 S 0.0000 0.5000 0.0000 1
Cl1 Cl 0.0000 0.0000 0.5000 1

***

Entry 6:
# AlSnS2Cl GGA-PBE relaxed
# Formation energy from raw total energies ... 0.0055 eV/atom
# ΔE to the lowest computed polymorph ... 588 meV/atom
# Final energy ... -3.564 eV per atom
data_AlSnS2Cl
_space_group_name_H-M_alt 'P 4/m m m'
_space_group_IT_number 123
_space_group_name_Hall '-P 4 2'
_cell_length_a 5.0207
_cell_length_b 5.0207
_cell_length_c 5.2421
_cell_angle_alpha 90.00
_cell_angle_beta 90.00
_cell_angle_gamma 90.00
loop_
_atom_site_label
_atom_site_type_symbol
_atom_site_fract_x
_atom_site_fract_y
_atom_site_fract_z
_atom_site_occupancy
Al1 Al 0.0000 0.0000 0.0000 1
Sn1 Sn 0.5000 0.5000 0.5000 1
S1 S 0.0000 0.5000 0.5000 1
Cl1 Cl 0.5000 0.5000 0.0000 1